The following is a DFT calculation (PBE) of crystalline Ti3V2Ga at its relaxed geometry.

Cell: 6.7094 6.7094 3.3667 Å, 90.00 90.00 142.33°
Atoms (fractional coordinates):
Ti (0.0000, 0.0000, 0.0000)
Ti (0.3263, 0.6737, 0.0000)
Ti (0.6737, 0.3263, 0.0000)
V (0.1654, 0.8346, 0.5000)
V (0.8346, 0.1654, 0.5000)
Ga (0.5000, 0.5000, 0.5000)


The following is a DFT calculation (PBE) of crystalline Ti3VGa at its relaxed geometry.

Offset from the most stable computed form, eV/atom: 0.833

Cell: 4.7000 4.7000 4.7000 Å, 90.00 90.00 90.00°
Atoms (fractional coordinates):
Ti (0.0000, 0.0000, 0.5000)
Ti (0.0000, 0.5000, 0.0000)
Ti (0.5000, 0.0000, 0.0000)
V (0.5000, 0.5000, 0.5000)
Ga (0.0000, 0.0000, 0.0000)


The following is a DFT calculation (PBE) of crystalline Ti7V2Ga at its relaxed geometry.

Cell: 7.2393 7.2393 4.3754 Å, 90.00 90.00 122.83°
Atoms (fractional coordinates):
Ti (0.0000, 0.0000, 0.0000)
Ti (0.2096, 0.4305, 0.0000)
Ti (0.2237, 0.7763, 0.5000)
Ti (0.4305, 0.2096, 0.0000)
Ti (0.5695, 0.7904, 0.0000)
Ti (0.7763, 0.2237, 0.5000)
Ti (0.7904, 0.5695, 0.0000)
V (0.2134, 0.7866, 0.0000)
V (0.7866, 0.2134, 0.0000)
Ga (0.5000, 0.5000, 0.5000)


The following is a DFT calculation (PBE) of crystalline Ti5VGa6 at its relaxed geometry.

Offset from the most stable computed form, eV/atom: 0.000

Cell: 7.3823 7.3823 7.3823 Å, 149.00 115.00 73.75°
Atoms (fractional coordinates):
Ti (0.0000, 0.0000, 0.0000)
Ti (0.1667, 0.6667, 0.5000)
Ti (0.3380, 0.3380, 0.0000)
Ti (0.6620, 0.6620, 0.0000)
Ti (0.8333, 0.3333, 0.5000)
V (0.5000, 0.0000, 0.5000)
Ga (0.0848, 0.8342, 0.2506)
Ga (0.2510, 0.5000, 0.7510)
Ga (0.4163, 0.1658, 0.2506)
Ga (0.5837, 0.8342, 0.7494)
Ga (0.7490, 0.5000, 0.2490)
Ga (0.9152, 0.1658, 0.7494)


The following is a DFT calculation (PBE) of crystalline TiV2Ga2 at its relaxed geometry.

Offset from the most stable computed form, eV/atom: 0.128

Cell: 7.5205 7.5205 2.6825 Å, 90.00 90.00 90.00°
Atoms (fractional coordinates):
Ti (0.0000, 0.0000, 0.0000)
Ti (0.5000, 0.5000, 0.0000)
V (0.1112, 0.3888, 0.0000)
V (0.3888, 0.8888, 0.0000)
V (0.6112, 0.1112, 0.0000)
V (0.8888, 0.6112, 0.0000)
Ga (0.1837, 0.6837, 0.5000)
Ga (0.3163, 0.1837, 0.5000)
Ga (0.6837, 0.8163, 0.5000)
Ga (0.8163, 0.3163, 0.5000)


The following is a DFT calculation (PBE) of crystalline Ti5V2Ga at its relaxed geometry.

Cell: 7.0601 7.0601 7.0601 Å, 158.03 102.44 81.79°
Atoms (fractional coordinates):
Ti (0.0000, 0.0000, 0.0000)
Ti (0.1178, 0.3715, 0.7463)
Ti (0.3748, 0.6285, 0.7463)
Ti (0.6252, 0.3715, 0.2537)
Ti (0.8822, 0.6285, 0.2537)
V (0.2479, 0.2479, 0.0000)
V (0.7521, 0.7521, 0.0000)
Ga (0.5000, 0.0000, 0.5000)


Number 1: energy relative to the elements -0.12 eV/atom, magnetic moment 2.17 μB per cell, E_tot -7.6115 eV per atom. Number 2: energy relative to the elements 0.87 eV/atom, magnetic moment 3.32 μB per cell, E_tot -6.2959 eV per atom. Number 3: energy relative to the elements 0.57 eV/atom, magnetic moment 0.00 μB per cell, E_tot -7.0806 eV per atom. Number 4: energy relative to the elements -0.42 eV/atom, magnetic moment 0.00 μB per cell, E_tot -5.9865 eV per atom. Number 5: energy relative to the elements -0.09 eV/atom, magnetic moment 0.00 μB per cell, E_tot -6.5241 eV per atom. Number 6: energy relative to the elements -0.01 eV/atom, magnetic moment 0.00 μB per cell, E_tot -7.5986 eV per atom.